Entry 1:
Computed, not measured: crystalline CaAcP2Pd5 at its relaxed geometry at the GGA-PBE level of DFT.

Properties
ΔE_f: -0.83 eV per atom
E: -5.5965 eV/atom

CIF file:
```
data_CaAcP2Pd5
_cell_length_a 4.461
_cell_length_b 4.461
_cell_length_c 8.643
_cell_angle_alpha 90.00
_cell_angle_beta 90.00
_cell_angle_gamma 90.00
_symmetry_space_group_name_H-M 'P 4/m m m'
_symmetry_Int_Tables_number 123
_symmetry_space_group_name_Hall '-P 4 2'
loop_
_atom_site_label
_atom_site_type_symbol
_atom_site_fract_x
_atom_site_fract_y
_atom_site_fract_z
Ca1 Ca 0.000 0.000 0.000
Ac1 Ac 0.000 0.000 0.500
P1 P 0.500 0.500 0.314
Pd1 Pd 0.000 0.500 0.224
Pd2 Pd 0.500 0.500 0.000
```

=====

Entry 2:
Computed, not measured: crystalline CaAc2P3Pd12 at its relaxed geometry at the GGA-PBE level of DFT.

Properties
ΔE_f: -0.48 eV per atom
E: -5.4149 eV/atom

CIF file:
```
data_CaAc2P3Pd12
_cell_length_a 8.7387
_cell_length_b 8.7387
_cell_length_c 16.5465
_cell_angle_alpha 90.00
_cell_angle_beta 90.00
_cell_angle_gamma 120.00
_symmetry_space_group_name_H-M 'R -3 m'
_symmetry_Int_Tables_number 166
_symmetry_space_group_name_Hall '-R 3 2"'
loop_
_atom_site_label
_atom_site_type_symbol
_atom_site_fract_x
_atom_site_fract_y
_atom_site_fract_z
Ca1 Ca 0.0000 0.0000 0.0000
Ac1 Ac 0.0000 0.0000 0.3909
P1 P 0.0000 0.5000 0.5000
Pd1 Pd 0.0180 0.5090 0.3631
Pd2 Pd 0.0536 0.5268 0.8208
```

=====

Entry 3:
Computed, not measured: crystalline CaAcPPd at its relaxed geometry at the GGA-PBE level of DFT.

Properties
ΔE_f: -0.87 eV per atom
E: -5.0469 eV/atom

CIF file:
```
data_CaAcPPd
_cell_length_a 7.348
_cell_length_b 7.348
_cell_length_c 7.348
_cell_angle_alpha 90.00
_cell_angle_beta 90.00
_cell_angle_gamma 90.00
_symmetry_space_group_name_H-M 'F -4 3 m'
_symmetry_Int_Tables_number 216
_symmetry_space_group_name_Hall 'F -4 2 3'
loop_
_atom_site_label
_atom_site_type_symbol
_atom_site_fract_x
_atom_site_fract_y
_atom_site_fract_z
Ca1 Ca 0.000 0.000 0.000
Ac1 Ac 0.000 0.000 0.500
P1 P 0.250 0.250 0.250
Pd1 Pd 0.250 0.250 0.750
```

=====

Entry 4:
Computed, not measured: crystalline CaAc2P3Pd4 at its relaxed geometry at the GGA-PBE level of DFT.

Properties
ΔE_f: -0.93 eV per atom
E: -5.6472 eV/atom

CIF file:
```
data_CaAc2P3Pd4
_cell_length_a 4.282
_cell_length_b 4.282
_cell_length_c 11.271
_cell_angle_alpha 90.00
_cell_angle_beta 90.00
_cell_angle_gamma 90.00
_symmetry_space_group_name_H-M 'P -4 m 2'
_symmetry_Int_Tables_number 115
_symmetry_space_group_name_Hall 'P -4 -2'
loop_
_atom_site_label
_atom_site_type_symbol
_atom_site_fract_x
_atom_site_fract_y
_atom_site_fract_z
Ca1 Ca 0.000 0.000 0.000
Ac1 Ac 0.000 0.500 0.720
P1 P 0.000 0.500 0.377
P2 P 0.500 0.500 0.000
Pd1 Pd 0.000 0.000 0.500
Pd2 Pd 0.000 0.500 0.162
Pd3 Pd 0.500 0.500 0.500
```

=====

Entry 5:
Computed, not measured: crystalline CaAcP2Pd2 at its relaxed geometry at the GGA-PBE level of DFT.

Properties
ΔE_f: -1.13 eV per atom
E: -5.6868 eV/atom

CIF file:
```
data_CaAcP2Pd2
_cell_length_a 4.2345
_cell_length_b 4.2345
_cell_length_c 8.2782
_cell_angle_alpha 90.00
_cell_angle_beta 90.00
_cell_angle_gamma 120.00
_symmetry_space_group_name_H-M 'P -3 m 1'
_symmetry_Int_Tables_number 164
_symmetry_space_group_name_Hall '-P 3 2"'
loop_
_atom_site_label
_atom_site_type_symbol
_atom_site_fract_x
_atom_site_fract_y
_atom_site_fract_z
Ca1 Ca 0.0000 0.0000 0.0000
Ac1 Ac 0.0000 0.0000 0.5000
P1 P 0.3333 0.6667 0.7552
Pd1 Pd 0.3333 0.6667 0.2343
```

=====

Entry 6:
Computed, not measured: crystalline CaAcP2Pt2 at its relaxed geometry at the GGA-PBE level of DFT.

Properties
ΔE_f: -1.22 eV per atom
E: -6.0599 eV/atom

CIF file:
```
data_CaAcP2Pt2
_cell_length_a 4.1978
_cell_length_b 4.1978
_cell_length_c 8.4457
_cell_angle_alpha 90.00
_cell_angle_beta 90.00
_cell_angle_gamma 120.00
_symmetry_space_group_name_H-M 'P -3 m 1'
_symmetry_Int_Tables_number 164
_symmetry_space_group_name_Hall '-P 3 2"'
loop_
_atom_site_label
_atom_site_type_symbol
_atom_site_fract_x
_atom_site_fract_y
_atom_site_fract_z
Ca1 Ca 0.0000 0.0000 0.0000
Ac1 Ac 0.0000 0.0000 0.5000
P1 P 0.3333 0.6667 0.7551
Pt1 Pt 0.3333 0.6667 0.2367
```

=====

Entry 7:
Computed, not measured: crystalline CaAcP2Pt4 at its relaxed geometry at the GGA-PBE level of DFT.

Properties
ΔE_f: -0.82 eV per atom
E: -5.9600 eV/atom

CIF file:
```
data_CaAcP2Pt4
_cell_length_a 4.496
_cell_length_b 4.496
_cell_length_c 8.685
_cell_angle_alpha 90.00
_cell_angle_beta 90.00
_cell_angle_gamma 90.00
_symmetry_space_group_name_H-M 'P 4/m m m'
_symmetry_Int_Tables_number 123
_symmetry_space_group_name_Hall '-P 4 2'
loop_
_atom_site_label
_atom_site_type_symbol
_atom_site_fract_x
_atom_site_fract_y
_atom_site_fract_z
Ca1 Ca 0.000 0.000 0.000
Ac1 Ac 0.000 0.000 0.500
P1 P 0.500 0.500 0.165
Pt1 Pt 0.000 0.500 0.244
```

=====

Entry 8:
Computed, not measured: crystalline CaAcPRh at its relaxed geometry at the GGA-PBE level of DFT.

Properties
ΔE_f: -0.63 eV per atom
E: -5.3482 eV/atom

CIF file:
```
data_CaAcPRh
_cell_length_a 7.254
_cell_length_b 7.254
_cell_length_c 7.254
_cell_angle_alpha 90.00
_cell_angle_beta 90.00
_cell_angle_gamma 90.00
_symmetry_space_group_name_H-M 'F -4 3 m'
_symmetry_Int_Tables_number 216
_symmetry_space_group_name_Hall 'F -4 2 3'
loop_
_atom_site_label
_atom_site_type_symbol
_atom_site_fract_x
_atom_site_fract_y
_atom_site_fract_z
Ca1 Ca 0.000 0.000 0.000
Ac1 Ac 0.000 0.000 0.500
P1 P 0.250 0.250 0.250
Rh1 Rh 0.250 0.250 0.750
```

=====

Entry 9:
Computed, not measured: crystalline CaAc2P3Rh4 at its relaxed geometry at the GGA-PBE level of DFT.

Properties
ΔE_f: -0.95 eV per atom
E: -6.5368 eV/atom

CIF file:
```
data_CaAc2P3Rh4
_cell_length_a 4.125
_cell_length_b 4.125
_cell_length_c 11.455
_cell_angle_alpha 90.00
_cell_angle_beta 90.00
_cell_angle_gamma 90.00
_symmetry_space_group_name_H-M 'P -4 m 2'
_symmetry_Int_Tables_number 115
_symmetry_space_group_name_Hall 'P -4 -2'
loop_
_atom_site_label
_atom_site_type_symbol
_atom_site_fract_x
_atom_site_fract_y
_atom_site_fract_z
Ca1 Ca 0.000 0.000 0.000
Ac1 Ac 0.000 0.500 0.736
P1 P 0.000 0.500 0.383
P2 P 0.500 0.500 0.000
Rh1 Rh 0.000 0.000 0.500
Rh2 Rh 0.000 0.500 0.178
Rh3 Rh 0.500 0.500 0.500
```

=====

Entry 10:
Computed, not measured: crystalline CaAcP2S8 at its relaxed geometry at the GGA-PBE level of DFT.

Properties
formation energy (no corrections): -9.021 eV/f.u.
E: -4.9142 eV/atom

CIF file:
```
data_CaAcP2S8
_cell_length_a 6.0091
_cell_length_b 6.0091
_cell_length_c 9.6680
_cell_angle_alpha 90.00
_cell_angle_beta 90.00
_cell_angle_gamma 120.00
_symmetry_space_group_name_H-M 'P -3'
_symmetry_Int_Tables_number 147
_symmetry_space_group_name_Hall '-P 3'
loop_
_atom_site_label
_atom_site_type_symbol
_atom_site_fract_x
_atom_site_fract_y
_atom_site_fract_z
Ca1 Ca 0.0000 0.0000 0.0000
Ac1 Ac 0.0000 0.0000 0.5000
P1 P 0.3333 0.6667 0.7792
S1 S 0.0028 0.6500 0.2821
S2 S 0.3333 0.6667 0.9896
```

=====

Entry 11:
Computed, not measured: crystalline CaAcPS at its relaxed geometry at the GGA-PBE level of DFT.

Properties
formation energy (no corrections): -6.938 eV/f.u.
E: -5.6462 eV/atom

CIF file:
```
data_CaAcPS
_cell_length_a 4.3134
_cell_length_b 4.3134
_cell_length_c 20.6655
_cell_angle_alpha 90.00
_cell_angle_beta 90.00
_cell_angle_gamma 120.00
_symmetry_space_group_name_H-M 'R 3 m'
_symmetry_Int_Tables_number 160
_symmetry_space_group_name_Hall 'R 3 -2"'
loop_
_atom_site_label
_atom_site_type_symbol
_atom_site_fract_x
_atom_site_fract_y
_atom_site_fract_z
Ca1 Ca 0.0000 0.0000 0.0000
Ac1 Ac 0.0000 0.0000 0.5059
P1 P 0.0000 0.0000 0.2545
S1 S 0.0000 0.0000 0.7490
```

=====

Entry 12:
Computed, not measured: crystalline CaAcPSe at its relaxed geometry at the GGA-PBE level of DFT.

Properties
formation energy (no corrections): -6.789 eV/f.u.
E: -5.4483 eV/atom

CIF file:
```
data_CaAcPSe
_cell_length_a 4.3771
_cell_length_b 4.3771
_cell_length_c 21.1557
_cell_angle_alpha 90.00
_cell_angle_beta 90.00
_cell_angle_gamma 120.00
_symmetry_space_group_name_H-M 'R 3 m'
_symmetry_Int_Tables_number 160
_symmetry_space_group_name_Hall 'R 3 -2"'
loop_
_atom_site_label
_atom_site_type_symbol
_atom_site_fract_x
_atom_site_fract_y
_atom_site_fract_z
Ca1 Ca 0.0000 0.0000 0.0000
Ac1 Ac 0.0000 0.0000 0.5116
P1 P 0.0000 0.0000 0.2562
Se1 Se 0.0000 0.0000 0.7502
```

=====

Which value of E does entry 2 give? -5.4149 eV/atom

=====

Which value of E does entry 4 give? -5.6472 eV/atom